Arrangement 1

Crystalline SbHWI2 at its relaxed geometry. Source: the Alexandria database, functional PBE-GGA.

abc: 5.6479 5.6479 5.2175
angles: 90.00 90.00 90.00
Last column: nearest neighbours and their distance in Å.
Positions (direct):
Sb (0.0000, 0.0000, 0.0000)  2 W 2.61
H (0.5000, 0.5000, 0.0000)  8 I 3.84, 4 Sb 3.99
W (0.0000, 0.0000, 0.5000)  2 Sb 2.61, 4 I 2.82
I (0.0000, 0.5000, 0.5000)  2 W 2.82
I (0.5000, 0.0000, 0.5000)  2 W 2.82

SG ... P4/mmm (123)



Arrangement 2

Crystalline SbHWI2 at its relaxed geometry. Source: the Alexandria database, functional PBE-GGA.

abc: 5.3486 5.3486 3.8117
angles: 90.00 90.00 90.00
Last column: nearest neighbours and their distance in Å.
Positions (direct):
Sb (0.0000, 0.0000, 0.0000)  2 H 1.91
H (0.0000, 0.0000, 0.5000)  2 Sb 1.91
W (0.5000, 0.5000, 0.0000)  8 I 3.28
I (0.0000, 0.5000, 0.5000)  2 H 2.67
I (0.5000, 0.0000, 0.5000)  2 H 2.67

SG ... P4/mmm (123)



The data favor arrangement 1; the next most stable structure lies 316 meV per atom above it.



Arrangement 1

Crystalline ScH3I at its relaxed geometry. Source: the Alexandria database, functional PBE-GGA.

abc: 4.0008 4.0008 4.0008
angles: 90.00 90.00 90.00
Last column: nearest neighbours and their distance in Å.
Positions (direct):
Sc (0.0000, 0.0000, 0.0000)  6 H 2.00
H (0.0000, 0.0000, 0.5000)  2 Sc 2.00
H (0.0000, 0.5000, 0.0000)  2 Sc 2.00
H (0.5000, 0.0000, 0.0000)  2 Sc 2.00
I (0.5000, 0.5000, 0.5000)  12 H 2.83

SG ... Pm-3m (221)



Arrangement 2

Crystalline ScH3I at its relaxed geometry. Source: the Alexandria database, functional PBE-GGA.

abc: 4.1376 4.1376 4.1376
angles: 90.00 90.00 90.00
Last column: nearest neighbours and their distance in Å.
Positions (direct):
Sc (0.0000, 0.0000, 0.0000)  12 H 2.93
H (0.0000, 0.5000, 0.5000)  2 I 2.07
H (0.5000, 0.0000, 0.5000)  2 I 2.07
H (0.5000, 0.5000, 0.0000)  2 I 2.07
I (0.5000, 0.5000, 0.5000)  6 H 2.07

SG ... Pm-3m (221)



The data favor arrangement 1; the next most stable structure lies 1028 meV per atom above it.



Arrangement 1

Crystalline Sc2HI at its relaxed geometry. Source: the Alexandria database, functional PBE-GGA.

abc: 6.7479 6.7479 6.7479
angles: 90.00 90.00 90.00
Last column: nearest neighbours and their distance in Å.
Positions (direct):
Sc (0.2500, 0.2500, 0.2500)  4 H 2.92, 4 I 2.92
Sc (0.2500, 0.2500, 0.7500)  4 H 2.92, 4 I 2.92
Sc (0.2500, 0.7500, 0.2500)  4 H 2.92, 4 I 2.92
Sc (0.2500, 0.7500, 0.7500)  4 H 2.92, 4 I 2.92
Sc (0.7500, 0.2500, 0.2500)  4 H 2.92, 4 I 2.92
Sc (0.7500, 0.2500, 0.7500)  4 H 2.92, 4 I 2.92
Sc (0.7500, 0.7500, 0.2500)  4 H 2.92, 4 I 2.92
Sc (0.7500, 0.7500, 0.7500)  4 I 2.92, 4 H 2.92
H (0.0000, 0.0000, 0.0000)  8 Sc 2.92
H (0.0000, 0.5000, 0.5000)  8 Sc 2.92
H (0.5000, 0.0000, 0.5000)  8 Sc 2.92
H (0.5000, 0.5000, 0.0000)  8 Sc 2.92
I (0.0000, 0.0000, 0.5000)  8 Sc 2.92
I (0.0000, 0.5000, 0.0000)  8 Sc 2.92
I (0.5000, 0.0000, 0.0000)  8 Sc 2.92
I (0.5000, 0.5000, 0.5000)  8 Sc 2.92

SG ... Fm-3m (225)



Arrangement 2

Crystalline Sc2HI at its relaxed geometry. Source: the Alexandria database, functional PBE-GGA.

abc: 3.6486 3.6486 23.7193
angles: 90.00 90.00 120.00
Last column: nearest neighbours and their distance in Å.
Positions (direct):
Sc (0.0000, 0.0000, 0.1187)  3 H 2.39
Sc (0.0000, 0.0000, 0.8813)  3 H 2.39
Sc (0.3333, 0.6667, 0.5479)  3 H 2.39
Sc (0.3333, 0.6667, 0.7854)  3 H 2.39
Sc (0.6667, 0.3333, 0.2146)  3 H 2.39
Sc (0.6667, 0.3333, 0.4521)  3 H 2.39
H (0.0000, 0.0000, 0.5000)  6 Sc 2.39
H (0.3333, 0.6667, 0.1667)  6 Sc 2.39
H (0.6667, 0.3333, 0.8333)  6 Sc 2.39
I (0.0000, 0.0000, 0.0000)  2 Sc 2.82
I (0.3333, 0.6667, 0.6667)  2 Sc 2.82
I (0.6667, 0.3333, 0.3333)  2 Sc 2.82

SG ... R-3m (166)



Arrangement 3

Crystalline Sc2HI at its relaxed geometry. Source: the Alexandria database, functional PBE-GGA.

abc: 6.7849 6.7849 6.4361
angles: 90.00 90.00 90.00
Last column: nearest neighbours and their distance in Å.
Positions (direct):
Sc (0.1307, 0.2500, 0.1250)  2 H 2.08
Sc (0.2500, 0.6307, 0.3750)  2 H 2.08
Sc (0.2500, 0.8693, 0.8750)  2 H 2.08
Sc (0.3693, 0.2500, 0.6250)  2 H 2.08
Sc (0.6307, 0.7500, 0.6250)  2 H 2.08
Sc (0.7500, 0.1307, 0.8750)  2 H 2.08
Sc (0.7500, 0.3693, 0.3750)  2 H 2.08
Sc (0.8693, 0.7500, 0.1250)  2 H 2.08
H (0.0000, 0.0000, 0.0000)  4 Sc 2.08
H (0.0000, 0.5000, 0.2500)  4 Sc 2.08
H (0.5000, 0.0000, 0.7500)  4 Sc 2.08
H (0.5000, 0.5000, 0.5000)  4 Sc 2.08
I (0.0000, 0.0000, 0.5000)  8 Sc 3.08-3.13, 2 H 3.22
I (0.0000, 0.5000, 0.7500)  8 Sc 3.08-3.13, 2 H 3.22
I (0.5000, 0.0000, 0.2500)  8 Sc 3.08-3.13, 2 H 3.22
I (0.5000, 0.5000, 0.0000)  8 Sc 3.08-3.13, 2 H 3.22

SG ... I-42d (122)



Arrangement 4

Crystalline Sc2HI at its relaxed geometry. Source: the Alexandria database, functional PBE-GGA.

abc: 3.7215 11.0330 4.1393
angles: 90.00 90.00 90.00
Last column: nearest neighbours and their distance in Å.
Positions (direct):
Sc (0.0000, 0.0632, 0.0000)  3 H 2.02-2.07
Sc (0.0000, 0.7759, 0.9996)  1 H 1.94
Sc (0.5000, 0.2241, 0.4996)  1 H 1.94
Sc (0.5000, 0.9368, 0.5000)  3 H 2.02-2.07
H (0.0000, 0.9147, 0.7130)  4 Sc 1.94-2.07
H (0.5000, 0.0853, 0.2130)  4 Sc 1.94-2.07
I (0.0000, 0.3489, 0.9954)  5 Sc 3.09-3.15
I (0.5000, 0.6511, 0.4954)  5 Sc 3.09-3.15

SG ... Pmn2_1 (31)



The data favor arrangement 4; the next most stable structure lies 169 meV per atom above it.



Arrangement 1

Crystalline ScH2I at its relaxed geometry. Source: the Alexandria database, functional PBE-GGA.

abc: 6.1892 6.1892 6.1892
angles: 90.00 90.00 90.00
Last column: nearest neighbours and their distance in Å.
Positions (direct):
Sc (0.0000, 0.0000, 0.0000)  8 H 2.68
Sc (0.0000, 0.5000, 0.5000)  8 H 2.68
Sc (0.5000, 0.0000, 0.5000)  8 H 2.68
Sc (0.5000, 0.5000, 0.0000)  8 H 2.68
H (0.2500, 0.2500, 0.2500)  4 Sc 2.68, 4 I 2.68
H (0.2500, 0.2500, 0.7500)  4 Sc 2.68, 4 I 2.68
H (0.2500, 0.7500, 0.2500)  4 Sc 2.68, 4 I 2.68
H (0.2500, 0.7500, 0.7500)  4 Sc 2.68, 4 I 2.68
H (0.7500, 0.2500, 0.2500)  4 Sc 2.68, 4 I 2.68
H (0.7500, 0.2500, 0.7500)  4 Sc 2.68, 4 I 2.68
H (0.7500, 0.7500, 0.2500)  4 Sc 2.68, 4 I 2.68
H (0.7500, 0.7500, 0.7500)  4 Sc 2.68, 4 I 2.68
I (0.0000, 0.0000, 0.5000)  8 H 2.68
I (0.0000, 0.5000, 0.0000)  8 H 2.68
I (0.5000, 0.0000, 0.0000)  8 H 2.68
I (0.5000, 0.5000, 0.5000)  8 H 2.68

SG ... Fm-3m (225)



Arrangement 2

Crystalline ScH2I at its relaxed geometry. Source: the Alexandria database, functional PBE-GGA.

abc: 3.5695 5.6011 7.8354
angles: 90.00 102.74 90.00
Last column: nearest neighbours and their distance in Å.
Positions (direct):
Sc (0.2436, 0.2500, 0.4870)  6 H 1.96-2.08
Sc (0.7564, 0.7500, 0.5130)  6 H 1.96-2.08
H (0.2867, 0.5783, 0.5755)  1 H 1.92, 3 Sc 1.96-2.08
H (0.2867, 0.9217, 0.5755)  1 H 1.92, 3 Sc 1.96-2.08
H (0.7133, 0.0783, 0.4245)  1 H 1.92, 3 Sc 1.96-2.08
H (0.7133, 0.4217, 0.4245)  1 H 1.92, 3 Sc 1.96-2.08
I (0.1068, 0.7500, 0.2040)  2 Sc 2.96, 6 H 3.00-3.07
I (0.8932, 0.2500, 0.7960)  2 Sc 2.96, 6 H 3.00-3.07

SG ... P2_1/m (11)



The data favor arrangement 2; the next most stable structure lies 966 meV per atom above it.



Arrangement 1

Crystalline ScH2I at its relaxed geometry. Source: the Alexandria database, functional PBE-GGA.

abc: 3.5874 3.5874 15.1566
angles: 90.00 90.00 120.00
Last column: nearest neighbours and their distance in Å.
Positions (direct):
Sc (0.0000, 0.0000, 0.0000)  6 H 2.10
Sc (0.3333, 0.6667, 0.6667)  6 H 2.10
Sc (0.6667, 0.3333, 0.3333)  6 H 2.10
H (0.0000, 0.0000, 0.3105)  3 Sc 2.10, 3 H 2.18
H (0.0000, 0.0000, 0.6895)  3 Sc 2.10, 3 H 2.18
H (0.3333, 0.6667, 0.3562)  3 Sc 2.10, 3 H 2.18
H (0.3333, 0.6667, 0.9771)  3 Sc 2.10, 3 H 2.18
H (0.6667, 0.3333, 0.0229)  3 Sc 2.10, 3 H 2.18
H (0.6667, 0.3333, 0.6438)  3 Sc 2.10, 3 H 2.18
I (0.0000, 0.0000, 0.5000)  8 H 2.87-3.01
I (0.3333, 0.6667, 0.1667)  8 H 2.87-3.01
I (0.6667, 0.3333, 0.8333)  8 H 2.87-3.01

SG ... R-3m (166)



Arrangement 2

Crystalline ScH2I at its relaxed geometry. Source: the Alexandria database, functional PBE-GGA.

abc: 4.5958 4.5958 12.2757
angles: 90.00 90.00 90.00
Last column: nearest neighbours and their distance in Å.
Positions (direct):
Sc (0.0000, 0.2500, 0.3750)  4 H 1.92
Sc (0.0000, 0.7500, 0.6250)  4 H 1.92
Sc (0.5000, 0.2500, 0.1250)  4 H 1.92
Sc (0.5000, 0.7500, 0.8750)  4 H 1.92
H (0.0000, 0.0000, 0.5000)  2 Sc 1.92
H (0.0000, 0.5000, 0.5000)  2 Sc 1.92
H (0.2500, 0.2500, 0.2500)  2 Sc 1.92
H (0.2500, 0.7500, 0.7500)  2 Sc 1.92
H (0.5000, 0.0000, 0.0000)  2 Sc 1.92
H (0.5000, 0.5000, 0.0000)  2 Sc 1.92
H (0.7500, 0.2500, 0.2500)  2 Sc 1.92
H (0.7500, 0.7500, 0.7500)  2 Sc 1.92
I (0.0000, 0.2500, 0.8750)  8 H 2.99, 4 Sc 3.25
I (0.0000, 0.7500, 0.1250)  8 H 2.99, 4 Sc 3.25
I (0.5000, 0.2500, 0.6250)  8 H 2.99, 4 Sc 3.25
I (0.5000, 0.7500, 0.3750)  8 H 2.99, 4 Sc 3.25

SG ... I4_1/amd (141)



The data favor arrangement 1; the next most stable structure lies 108 meV per atom above it.